Record 1
## Y3CdNi8 (PBE)

Data for crystalline Y3CdNi8 at its relaxed geometry.

CIF file:
```
data_Y3CdNi8
_cell_length_a 5.0312
_cell_length_b 5.0312
_cell_length_c 24.7647
_cell_angle_alpha 90.00
_cell_angle_beta 90.00
_cell_angle_gamma 120.00
_symmetry_space_group_name_H-M 'R 3 m'
_symmetry_Int_Tables_number 160
_symmetry_space_group_name_Hall 'R 3 -2"'
loop_
_atom_site_label
_atom_site_fract_x
_atom_site_fract_y
_atom_site_fract_z
Y1 0.0000 0.0000 0.0000
Y2 0.0000 0.0000 0.1282
Y3 0.0000 0.0000 0.6174
Cd1 0.0000 0.0000 0.4959
Ni1 0.0000 0.0000 0.3110
Ni2 0.0000 0.0000 0.8111
Ni3 0.0009 0.5004 0.0608
Ni4 0.0034 0.5017 0.5610
```

The value obtained for the volume is 181 Å³/f.u. For the total energy, the calculation gives -213.6 eV for the cell shown. The calculated formation energy is -388 meV per atom. The total moment comes out at 0.0 μB per formula unit.

Record 2
## In2ReTc (PBE)

Data for crystalline In2ReTc at its relaxed geometry.

CIF file:
```
data_In2ReTc
_cell_length_a 9.291
_cell_length_b 2.998
_cell_length_c 5.160
_cell_angle_alpha 90.00
_cell_angle_beta 100.80
_cell_angle_gamma 90.00
_symmetry_space_group_name_H-M 'C 1 2/m 1'
_symmetry_Int_Tables_number 12
_symmetry_space_group_name_Hall '-C 2y'
loop_
_atom_site_label
_atom_site_fract_x
_atom_site_fract_y
_atom_site_fract_z
In1 0.249 0.000 0.248
Re1 0.000 0.000 0.500
Tc1 0.000 0.500 0.000
```

The value obtained for the volume is 71 Å³/f.u. For the total energy, the calculation gives -52.0 eV for the cell shown. The calculated formation energy is 573 meV per atom. The total moment comes out at 0.0 μB per formula unit.

Record 3
## Cd4In3Au4 (PBE)

Data for crystalline Cd4In3Au4 at its relaxed geometry.

CIF file:
```
data_Cd4In3Au4
_cell_length_a 3.568
_cell_length_b 8.568
_cell_length_c 16.264
_cell_angle_alpha 90.00
_cell_angle_beta 90.00
_cell_angle_gamma 90.00
_symmetry_space_group_name_H-M 'I m m m'
_symmetry_Int_Tables_number 71
_symmetry_space_group_name_Hall '-I 2 2'
loop_
_atom_site_label
_atom_site_fract_x
_atom_site_fract_y
_atom_site_fract_z
Cd1 0.000 0.184 0.168
In1 0.000 0.000 0.407
In2 0.000 0.500 0.500
Au1 0.000 0.271 0.000
Au2 0.000 0.500 0.232
```

The value obtained for the volume is 249 Å³/f.u. For the total energy, the calculation gives -52.9 eV for the cell shown. The calculated formation energy is -134 meV per atom. The total moment comes out at 0.0 μB per formula unit.